1.
# Cu2PdPt8 | Alexandria | GGA-PBE | relaxed
# ΔE to the lowest computed polymorph = 0 meV/atom
data_Cu2PdPt8
_symmetry_space_group_name_H-M 'P 1'
_symmetry_Int_Tables_number 1
_cell_length_a 7.328
_cell_length_b 7.328
_cell_length_c 6.182
_cell_angle_alpha 104.36
_cell_angle_beta 104.36
_cell_angle_gamma 31.09
loop_
_symmetry_equiv_pos_as_xyz
'x,y,z'
loop_
_atom_site_label
_atom_site_fract_x
_atom_site_fract_y
_atom_site_fract_z
Cu1 0.228 0.228 0.134
Cu2 0.772 0.772 0.866
Pd1 0.500 0.500 0.500
Pt1 0.049 0.049 0.225
Pt2 0.140 0.140 0.693
Pt3 0.317 0.317 0.589
Pt4 0.404 0.404 0.046
Pt5 0.596 0.596 0.954
Pt6 0.683 0.683 0.411
Pt7 0.860 0.860 0.307
Pt8 0.951 0.951 0.775

***

2.
# Hf2ReC | Alexandria | GGA-PBE | relaxed
# total DFT energy (no corrections) = -10.31 eV/atom
data_Hf2ReC
_symmetry_space_group_name_H-M 'P 1'
_symmetry_Int_Tables_number 1
_cell_length_a 8.160
_cell_length_b 8.160
_cell_length_c 8.160
_cell_angle_alpha 21.85
_cell_angle_beta 21.85
_cell_angle_gamma 21.85
loop_
_symmetry_equiv_pos_as_xyz
'x,y,z'
loop_
_atom_site_label
_atom_site_fract_x
_atom_site_fract_y
_atom_site_fract_z
Hf1 0.111 0.111 0.111
Hf2 0.889 0.889 0.889
Re1 0.000 0.000 0.000
C1 0.500 0.500 0.500

***

3.
# LiPuIn2Br6 | Alexandria | GGA-PBE | relaxed
# energy relative to the elements, uncorrected = -1157 meV/atom
data_LiPuIn2Br6
_symmetry_space_group_name_H-M 'P 1'
_symmetry_Int_Tables_number 1
_cell_length_a 7.867
_cell_length_b 7.867
_cell_length_c 7.867
_cell_angle_alpha 59.60
_cell_angle_beta 59.60
_cell_angle_gamma 59.60
loop_
_symmetry_equiv_pos_as_xyz
'x,y,z'
loop_
_atom_site_label
_atom_site_fract_x
_atom_site_fract_y
_atom_site_fract_z
Li1 0.000 0.000 0.000
Pu1 0.495 0.495 0.495
In1 0.278 0.278 0.278
In2 0.782 0.782 0.782
Br1 0.162 0.320 0.733
Br2 0.229 0.825 0.670
Br3 0.320 0.733 0.162
Br4 0.670 0.229 0.825
Br5 0.733 0.162 0.320
Br6 0.825 0.670 0.229